Here is crystalline NdSmTh2 at its relaxed geometry from Alexandria via LeMat-Bulk. Energies are from GGA-PBE.

Offset from the most stable computed form ... 174.0 meV per atom
ΔH_f (0 K) ... 0.82 eV per formula unit
Total magnetic moment ... 0.00 Bohr magnetons per cell

abc: 5.7266 5.7266 5.7266
angles: 60.00 60.00 60.00
Last column: nearest neighbours and their distance in Å.
Element x y z (fractional)
Nd  0.0000  0.0000  0.0000  8 Th 3.51
Sm  0.5000  0.5000  0.5000  8 Th 3.51
Th  0.2500  0.2500  0.2500  4 Nd 3.51, 4 Sm 3.51
Th  0.7500  0.7500  0.7500  4 Nd 3.51, 4 Sm 3.51